DFT (GGA-PBE) results for crystalline TaMn2Tc at its relaxed geometry.

The structure belongs to space group P2/m (No. 10); the cell edges are 2.7083, 4.1015 and 5.1778 Å and the angles 90.00°, 102.49° and 90.00°. The distinct sites, in fractional coordinates, are Ta at (0.0000, 0.0000, 0.0000), Mn at (0.2510, 0.5000, 0.7422) and Tc at (0.5000, 0.0000, 0.5000).

As for the total magnetization: 3.0 μB per formula unit. Its total energy is -10.0889 eV per atom. As for the energy of formation: 0.051 eV per atom. The calculation puts the density of states at the Fermi level at 0.97 states/eV per atom.